# LiPbN2O PBE optimized geometry
data_LiPbN2O
_chemical_formula_sum 'Li1 Pb1 N2 O1'
_cell_length_a 4.511
_cell_length_b 4.511
_cell_length_c 4.341
_cell_angle_alpha 90.00
_cell_angle_beta 90.00
_cell_angle_gamma 90.00
_symmetry_space_group_name_H-M 'P 4/m m m'
_symmetry_Int_Tables_number 123
_symmetry_space_group_name_Hall '-P 4 2'
loop_
_atom_site_label
_atom_site_fract_x
_atom_site_fract_y
_atom_site_fract_z
_atom_site_occupancy
Li1 0.000 0.000 0.000 1
Pb1 0.500 0.500 0.500 1
N1 0.000 0.500 0.500 1
O1 0.500 0.500 0.000 1
# - Formation energy without anion corrections: 1.0477 eV/atom
# - Magnetic moment: 3.12 Bohr magnetons per cell


# LiPbNO2 PBE optimized geometry
data_LiPbNO2
_chemical_formula_sum 'Li1 Pb1 N1 O2'
_cell_length_a 4.278
_cell_length_b 4.278
_cell_length_c 4.273
_cell_angle_alpha 90.00
_cell_angle_beta 90.00
_cell_angle_gamma 90.00
_symmetry_space_group_name_H-M 'P 4/m m m'
_symmetry_Int_Tables_number 123
_symmetry_space_group_name_Hall '-P 4 2'
loop_
_atom_site_label
_atom_site_fract_x
_atom_site_fract_y
_atom_site_fract_z
_atom_site_occupancy
Li1 0.000 0.000 0.000 1
Pb1 0.500 0.500 0.500 1
N1 0.500 0.500 0.000 1
O1 0.000 0.500 0.500 1
# - Formation energy without anion corrections: 0.2477 eV/atom
# - Magnetic moment: 2.02 Bohr magnetons per cell


# LiPbNO2 PBE optimized geometry
data_LiPbNO2
_chemical_formula_sum 'Li1 Pb1 N1 O2'
_cell_length_a 3.950
_cell_length_b 3.950
_cell_length_c 3.973
_cell_angle_alpha 90.00
_cell_angle_beta 90.00
_cell_angle_gamma 90.00
_symmetry_space_group_name_H-M 'P 4/m m m'
_symmetry_Int_Tables_number 123
_symmetry_space_group_name_Hall '-P 4 2'
loop_
_atom_site_label
_atom_site_fract_x
_atom_site_fract_y
_atom_site_fract_z
_atom_site_occupancy
Li1 0.000 0.000 0.000 1
Pb1 0.500 0.500 0.500 1
N1 0.000 0.000 0.500 1
O1 0.000 0.500 0.000 1
# - Formation energy without anion corrections: 0.2597 eV/atom
# - Magnetic moment: 4.00 Bohr magnetons per cell


# LiPdNO2 PBE optimized geometry
data_LiPdNO2
_chemical_formula_sum 'Li1 Pd1 N1 O2'
_cell_length_a 4.137
_cell_length_b 4.137
_cell_length_c 3.690
_cell_angle_alpha 90.00
_cell_angle_beta 90.00
_cell_angle_gamma 90.00
_symmetry_space_group_name_H-M 'P 4/m m m'
_symmetry_Int_Tables_number 123
_symmetry_space_group_name_Hall '-P 4 2'
loop_
_atom_site_label
_atom_site_fract_x
_atom_site_fract_y
_atom_site_fract_z
_atom_site_occupancy
Li1 0.000 0.000 0.000 1
Pd1 0.500 0.500 0.500 1
N1 0.500 0.500 0.000 1
O1 0.000 0.500 0.500 1
# - Formation energy without anion corrections: 0.3625 eV/atom
# - Magnetic moment: 0.66 Bohr magnetons per cell


# LiPdNO2 PBE optimized geometry
data_LiPdNO2
_chemical_formula_sum 'Li1 Pd1 N1 O2'
_cell_length_a 3.589
_cell_length_b 3.589
_cell_length_c 3.638
_cell_angle_alpha 90.00
_cell_angle_beta 90.00
_cell_angle_gamma 90.00
_symmetry_space_group_name_H-M 'P 4/m m m'
_symmetry_Int_Tables_number 123
_symmetry_space_group_name_Hall '-P 4 2'
loop_
_atom_site_label
_atom_site_fract_x
_atom_site_fract_y
_atom_site_fract_z
_atom_site_occupancy
Li1 0.000 0.000 0.000 1
Pd1 0.500 0.500 0.500 1
N1 0.000 0.000 0.500 1
O1 0.000 0.500 0.000 1
# - Formation energy without anion corrections: 0.9673 eV/atom
# - Magnetic moment: 0.00 Bohr magnetons per cell


# LiPuNO PBE optimized geometry
data_LiPuNO
_chemical_formula_sum 'Li2 Pu2 N2 O2'
_cell_length_a 4.403
_cell_length_b 3.842
_cell_length_c 6.673
_cell_angle_alpha 90.00
_cell_angle_beta 90.00
_cell_angle_gamma 90.00
_symmetry_space_group_name_H-M 'A m m 2'
_symmetry_Int_Tables_number 38
loop_
_symmetry_equiv_pos_as_xyz
'x,y,z'
'-x,-y,z'
'-x,y,z'
'x,-y,z'
'x,y+1/2,z+1/2'
'-x,-y+1/2,z+1/2'
'-x,y+1/2,z+1/2'
'x,-y+1/2,z+1/2'
loop_
_atom_site_label
_atom_site_fract_x
_atom_site_fract_y
_atom_site_fract_z
_atom_site_occupancy
Li1 0.000 0.000 0.000 1
Pu1 0.500 0.000 0.333 1
N1 0.500 0.000 0.000 1
O1 0.000 0.000 0.333 1
# - Formation energy without anion corrections: -1.7359 eV/atom
# - Magnetic moment: 8.00 Bohr magnetons per cell